# Tl4HgOs (GGA-PBE, relaxed)
# DFT formation energy in eV/atom: 1.055
# Electronic total energy in eV per atom: -2.444
# M_tot in μB per atom: 0.34
data_Tl4HgOs
_chemical_formula_sum 'Tl16 Hg4 Os4'
_symmetry_space_group_name_H-M 'F -4 3 m'
_symmetry_Int_Tables_number 216
_symmetry_space_group_name_Hall 'F -4 2 3'
_cell_length_a 8.767
_cell_length_b 8.767
_cell_length_c 8.767
_cell_angle_alpha 90.00
_cell_angle_beta 90.00
_cell_angle_gamma 90.00
loop_
_atom_site_label
_atom_site_type_symbol
_atom_site_fract_x
_atom_site_fract_y
_atom_site_fract_z
_atom_site_occupancy
Tl1 Tl 0.125 0.125 0.125 1
Hg1 Hg 0.250 0.250 0.750 1
Os1 Os 0.000 0.000 0.500 1

# KBiBPd2 (GGA-PBE, relaxed)
# DFT formation energy in eV/atom: 0.746
# Electronic total energy in eV per atom: -3.662
# M_tot in μB per atom: 0.00
data_KBiBPd2
_chemical_formula_sum 'K1 Bi1 B1 Pd2'
_symmetry_space_group_name_H-M 'P 4/m m m'
_symmetry_Int_Tables_number 123
_symmetry_space_group_name_Hall '-P 4 2'
_cell_length_a 5.284
_cell_length_b 5.284
_cell_length_c 4.809
_cell_angle_alpha 90.00
_cell_angle_beta 90.00
_cell_angle_gamma 90.00
loop_
_atom_site_label
_atom_site_type_symbol
_atom_site_fract_x
_atom_site_fract_y
_atom_site_fract_z
_atom_site_occupancy
K1 K 0.000 0.000 0.000 1
Bi1 Bi 0.500 0.500 0.500 1
B1 B 0.500 0.500 0.000 1
Pd1 Pd 0.000 0.500 0.500 1

# BaLi4Tl2Ag (GGA-PBE, relaxed)
# DFT formation energy in eV/atom: -0.191
# Electronic total energy in eV per atom: -2.336
# M_tot in μB per atom: 0.00
data_BaLi4Tl2Ag
_chemical_formula_sum 'Ba3 Li12 Tl6 Ag3'
_symmetry_space_group_name_H-M 'R -3 m'
_symmetry_Int_Tables_number 166
_symmetry_space_group_name_Hall '-R 3 2"'
_cell_length_a 4.7465
_cell_length_b 4.7465
_cell_length_c 29.8846
_cell_angle_alpha 90.00
_cell_angle_beta 90.00
_cell_angle_gamma 120.00
loop_
_atom_site_label
_atom_site_type_symbol
_atom_site_fract_x
_atom_site_fract_y
_atom_site_fract_z
_atom_site_occupancy
Ba1 Ba 0.0000 0.0000 0.0000 1
Li1 Li 0.0000 0.0000 0.1388 1
Li2 Li 0.0000 0.0000 0.4146 1
Tl1 Tl 0.0000 0.0000 0.2396 1
Ag1 Ag 0.0000 0.0000 0.5000 1

# Sr2BiIr (GGA-PBE, relaxed)
# DFT formation energy in eV/atom: -0.199
# Electronic total energy in eV per atom: -4.225
# M_tot in μB per atom: 0.00
data_Sr2BiIr
_chemical_formula_sum 'Sr8 Bi4 Ir4'
_symmetry_space_group_name_H-M 'I -4 2 d'
_symmetry_Int_Tables_number 122
_symmetry_space_group_name_Hall 'I -4 2bw'
_cell_length_a 11.174
_cell_length_b 11.174
_cell_length_c 5.211
_cell_angle_alpha 90.00
_cell_angle_beta 90.00
_cell_angle_gamma 90.00
loop_
_atom_site_label
_atom_site_type_symbol
_atom_site_fract_x
_atom_site_fract_y
_atom_site_fract_z
_atom_site_occupancy
Sr1 Sr 0.080 0.250 0.125 1
Bi1 Bi 0.000 0.000 0.500 1
Ir1 Ir 0.000 0.000 0.000 1

# PrEr2Ge (GGA-PBE, relaxed)
# DFT formation energy in eV/atom: -0.084
# Electronic total energy in eV per atom: -4.715
# M_tot in μB per atom: 0.00
data_PrEr2Ge
_chemical_formula_sum 'Pr3 Er6 Ge3'
_symmetry_space_group_name_H-M 'R -3 m'
_symmetry_Int_Tables_number 166
_symmetry_space_group_name_Hall '-R 3 2"'
_cell_length_a 3.5648
_cell_length_b 3.5648
_cell_length_c 32.8884
_cell_angle_alpha 90.00
_cell_angle_beta 90.00
_cell_angle_gamma 120.00
loop_
_atom_site_label
_atom_site_type_symbol
_atom_site_fract_x
_atom_site_fract_y
_atom_site_fract_z
_atom_site_occupancy
Pr1 Pr 0.0000 0.0000 0.0000 1
Er1 Er 0.0000 0.0000 0.1058 1
Ge1 Ge 0.0000 0.0000 0.5000 1

# Ba3NiH6 (GGA-PBE, relaxed)
# Electronic total energy in eV per atom: -3.549
# M_tot in μB per atom: 0.01
data_Ba3NiH6
_chemical_formula_sum 'Ba12 Ni4 H24'
_symmetry_space_group_name_H-M 'C m c 21'
_symmetry_Int_Tables_number 36
_cell_length_a 10.401
_cell_length_b 13.367
_cell_length_c 5.422
_cell_angle_alpha 90.00
_cell_angle_beta 90.00
_cell_angle_gamma 90.00
loop_
_symmetry_equiv_pos_as_xyz
'x,y,z'
'-x,-y,z+1/2'
'-x,y,z'
'x,-y,z+1/2'
'x+1/2,y+1/2,z'
'-x+1/2,-y+1/2,z+1/2'
'-x+1/2,y+1/2,z'
'x+1/2,-y+1/2,z+1/2'
loop_
_atom_site_label
_atom_site_type_symbol
_atom_site_fract_x
_atom_site_fract_y
_atom_site_fract_z
_atom_site_occupancy
Ba1 Ba 0.000 0.112 0.000 1
Ba2 Ba 0.185 0.382 0.030 1
Ni1 Ni 0.000 0.298 0.557 1
H1 H 0.000 0.281 0.261 1
H2 H 0.000 0.416 0.636 1
H3 H 0.125 0.246 0.684 1
H4 H 0.160 0.005 0.268 1